Record 1
ZnRu7 | PBE | relaxed

Computed properties:
DFT formation energy	207	meV/atom

a = 5.411 Å, b = 5.411 Å, c = 5.411 Å
α = 60.00°, β = 60.00°, γ = 60.00°
Positions (direct):
Zn 0.000 0.000 0.000
Ru 0.000 0.000 0.500
Ru 0.000 0.500 0.000
Ru 0.000 0.500 0.500
Ru 0.500 0.000 0.000
Ru 0.500 0.000 0.500
Ru 0.500 0.500 0.000
Ru 0.500 0.500 0.500

***

Record 2
ZnRu | PBE | relaxed

Computed properties:
DFT formation energy	47	meV/atom

a = 9.292 Å, b = 4.457 Å, c = 5.385 Å
α = 90.00°, β = 90.00°, γ = 90.00°
Positions (direct):
Zn 0.082 0.250 0.001
Zn 0.170 0.750 0.753
Zn 0.330 0.250 0.253
Zn 0.418 0.750 0.501
Zn 0.582 0.250 0.499
Zn 0.670 0.750 0.747
Zn 0.830 0.250 0.247
Zn 0.918 0.750 0.999
Ru 0.082 0.250 0.502
Ru 0.169 0.750 0.252
Ru 0.331 0.250 0.752
Ru 0.418 0.750 0.002
Ru 0.582 0.250 0.998
Ru 0.669 0.750 0.248
Ru 0.831 0.250 0.748
Ru 0.918 0.750 0.498

***

Record 3
Zn2Ru | PBE | relaxed

Computed properties:
DFT formation energy	58	meV/atom

a = 7.514 Å, b = 7.514 Å, c = 2.636 Å
α = 90.00°, β = 90.00°, γ = 120.00°
Positions (direct):
Zn 0.000 0.304 0.000
Zn 0.000 0.633 0.500
Zn 0.304 0.000 0.000
Zn 0.367 0.367 0.500
Zn 0.633 0.000 0.500
Zn 0.696 0.696 0.000
Ru 0.000 0.000 0.500
Ru 0.333 0.667 0.000
Ru 0.667 0.333 0.000

***

Record 4
Zn3Ru | PBE | relaxed

Computed properties:
DFT formation energy	100	meV/atom

a = 4.866 Å, b = 4.866 Å, c = 4.866 Å
α = 90.00°, β = 90.00°, γ = 90.00°
Positions (direct):
Zn 0.000 0.250 0.500
Zn 0.000 0.750 0.500
Zn 0.250 0.500 0.000
Zn 0.500 0.000 0.250
Zn 0.500 0.000 0.750
Zn 0.750 0.500 0.000
Ru 0.000 0.000 0.000
Ru 0.500 0.500 0.500

***

Record 5
Zn2Ru | PBE | relaxed

Computed properties:
DFT formation energy	-30	meV/atom

a = 4.768 Å, b = 4.768 Å, c = 4.369 Å
α = 90.00°, β = 90.00°, γ = 57.65°
Positions (direct):
Zn 0.000 0.330 0.250
Zn 0.000 0.670 0.750
Zn 0.330 0.000 0.750
Zn 0.670 0.000 0.250
Ru 0.336 0.664 0.250
Ru 0.664 0.336 0.750

***

Record 6
Zn6Ru | PBE | relaxed

Computed properties:
DFT formation energy	1043	meV/atom

a = 5.850 Å, b = 5.850 Å, c = 5.850 Å
α = 109.47°, β = 109.47°, γ = 109.47°
Positions (direct):
Zn 0.250 0.500 0.750
Zn 0.250 0.750 0.500
Zn 0.500 0.250 0.750
Zn 0.500 0.750 0.250
Zn 0.750 0.250 0.500
Zn 0.750 0.500 0.250
Ru 0.000 0.000 0.000